The following is a DFT calculation (PBE+U) of an optimized crystal structure of Pu2NiAgO8.

Cell lengths 6.1583, 6.1583, 6.1583 Å; angles 115.81, 115.81, 97.43 degrees
Fractional coordinates of all 12 atoms:
1 Pu 0.7500 0.2500 0.5000
2 Pu 0.5000 0.5000 0.0000
3 Ni 0.2500 0.7500 0.5000
4 Ag 0.0000 0.0000 0.0000
5 O 0.3775 0.0731 0.3044
6 O 0.3283 0.5516 0.2233
7 O 0.3283 0.1051 0.7767
8 O 0.7687 0.0731 0.6956
9 O 0.8949 0.6717 0.2233
10 O 0.9269 0.2313 0.3044
11 O 0.9269 0.6225 0.6956
12 O 0.4484 0.6717 0.7767

## Properties
Size of the total moment, μB per atom: 0.337
Total DFT energy (no corrections), eV/cell: -88.35
Volume, Å³/cell: 174.03